First-principles (PBE) data for an optimized crystal structure of Be2AlAg, as listed in Alexandria via LeMat-Bulk.

Geometry as CIF:
```
data_Be2AlAg
_space_group_name_H-M_alt 'P 1'
_space_group_IT_number 1
_cell_length_a 2.8767
_cell_length_b 2.8767
_cell_length_c 6.0502
_cell_angle_alpha 90.00
_cell_angle_beta 90.00
_cell_angle_gamma 90.00
loop_
_space_group_symop_operation_xyz
'x,y,z'
loop_
_atom_site_label
_atom_site_type_symbol
_atom_site_fract_x
_atom_site_fract_y
_atom_site_fract_z
Be1 Be 0.0000 0.0000 0.0000
Be2 Be 0.5000 0.5000 0.1730
Al1 Al 0.5000 0.5000 0.7540
Ag1 Ag 0.0000 0.0000 0.4272
```

## Properties
* crystal system: tetragonal
* formation energy: 0.1796 eV/atom
* energy: -3.3320 eV/atom

---

First-principles (PBE) data for an optimized crystal structure of Co2PRuPb, as listed in Alexandria via LeMat-Bulk.

Geometry as CIF:
```
data_Co2PRuPb
_space_group_name_H-M_alt 'P 1'
_space_group_IT_number 1
_cell_length_a 4.2237
_cell_length_b 4.2237
_cell_length_c 4.4904
_cell_angle_alpha 90.00
_cell_angle_beta 90.00
_cell_angle_gamma 90.00
loop_
_space_group_symop_operation_xyz
'x,y,z'
loop_
_atom_site_label
_atom_site_type_symbol
_atom_site_fract_x
_atom_site_fract_y
_atom_site_fract_z
Co1 Co 0.0000 0.5000 0.0000
Co2 Co 0.5000 0.0000 0.0000
P1 P 0.0000 0.0000 0.0000
Ru1 Ru 0.0000 0.0000 0.5000
Pb1 Pb 0.5000 0.5000 0.5000
```

## Properties
* crystal system: tetragonal
* formation energy: 0.2517 eV/atom
* energy: -6.2695 eV/atom

---

First-principles (PBE) data for an optimized crystal structure of Pa6GaSb, as listed in Alexandria via LeMat-Bulk.

Geometry as CIF:
```
data_Pa6GaSb
_space_group_name_H-M_alt 'P 1'
_space_group_IT_number 1
_cell_length_a 6.4545
_cell_length_b 6.4545
_cell_length_c 4.5484
_cell_angle_alpha 90.00
_cell_angle_beta 90.00
_cell_angle_gamma 90.00
loop_
_space_group_symop_operation_xyz
'x,y,z'
loop_
_atom_site_label
_atom_site_type_symbol
_atom_site_fract_x
_atom_site_fract_y
_atom_site_fract_z
Pa1 Pa 0.0000 0.5000 0.0000
Pa2 Pa 0.2446 0.2446 0.5000
Pa3 Pa 0.2446 0.7554 0.5000
Pa4 Pa 0.5000 0.0000 0.0000
Pa5 Pa 0.7554 0.2446 0.5000
Pa6 Pa 0.7554 0.7554 0.5000
Ga1 Ga 0.0000 0.0000 0.0000
Sb1 Sb 0.5000 0.5000 0.0000
```

## Properties
* crystal system: tetragonal
* formation energy (no corrections): -1.9 eV/f.u.
* energy: -8.2561 eV/atom

---

First-principles (PBE) data for an optimized crystal structure of BaNaW2, as listed in Alexandria via LeMat-Bulk.

Geometry as CIF:
```
data_BaNaW2
_space_group_name_H-M_alt 'P 1'
_space_group_IT_number 1
_cell_length_a 7.0572
_cell_length_b 7.0572
_cell_length_c 7.0572
_cell_angle_alpha 90.00
_cell_angle_beta 90.00
_cell_angle_gamma 90.00
loop_
_space_group_symop_operation_xyz
'x,y,z'
loop_
_atom_site_label
_atom_site_type_symbol
_atom_site_fract_x
_atom_site_fract_y
_atom_site_fract_z
Ba1 Ba 0.0000 0.0000 0.0000
Ba2 Ba 0.0000 0.5000 0.5000
Ba3 Ba 0.5000 0.0000 0.5000
Ba4 Ba 0.5000 0.5000 0.0000
Na1 Na 0.0000 0.0000 0.5000
Na2 Na 0.0000 0.5000 0.0000
Na3 Na 0.5000 0.0000 0.0000
Na4 Na 0.5000 0.5000 0.5000
W1 W 0.2500 0.2500 0.2500
W2 W 0.2500 0.2500 0.7500
W3 W 0.2500 0.7500 0.2500
W4 W 0.2500 0.7500 0.7500
W5 W 0.7500 0.2500 0.2500
W6 W 0.7500 0.2500 0.7500
W7 W 0.7500 0.7500 0.2500
W8 W 0.7500 0.7500 0.7500
```

## Properties
* crystal system: cubic
* formation energy: 2.3284 eV/atom
* polymorph energy (0 for the lowest one): 270.7 meV/atom
* energy: -4.9586 eV/atom

---

First-principles (PBE) data for an optimized crystal structure of K2Rb3TlCl6, as listed in Alexandria via LeMat-Bulk.

Geometry as CIF:
```
data_K2Rb3TlCl6
_space_group_name_H-M_alt 'P 1'
_space_group_IT_number 1
_cell_length_a 10.3714
_cell_length_b 10.3714
_cell_length_c 9.2837
_cell_angle_alpha 102.88
_cell_angle_beta 102.88
_cell_angle_gamma 25.87
loop_
_space_group_symop_operation_xyz
'x,y,z'
loop_
_atom_site_label
_atom_site_type_symbol
_atom_site_fract_x
_atom_site_fract_y
_atom_site_fract_z
K1 K 0.1674 0.1674 0.3337
K2 K 0.8326 0.8326 0.6663
Rb1 Rb 0.1654 0.1654 0.8329
Rb2 Rb 0.5000 0.5000 0.5000
Rb3 Rb 0.8346 0.8346 0.1671
Tl1 Tl 0.5000 0.5000 0.0000
Cl1 Cl 0.0035 0.0035 0.2490
Cl2 Cl 0.3309 0.3309 0.4235
Cl3 Cl 0.3338 0.3338 0.9088
Cl4 Cl 0.6662 0.6662 0.0912
Cl5 Cl 0.6691 0.6691 0.5765
Cl6 Cl 0.9965 0.9965 0.7510
```

## Properties
* crystal system: monoclinic
* formation energy (no corrections): -21.5 eV/f.u.
* energy: -3.3386 eV/atom

---

First-principles (PBE) data for an optimized crystal structure of Na3Eu2Si2Se6, as listed in Alexandria via LeMat-Bulk.

Geometry as CIF:
```
data_Na3Eu2Si2Se6
_space_group_name_H-M_alt 'P 1'
_space_group_IT_number 1
_cell_length_a 7.1870
_cell_length_b 7.1870
_cell_length_c 7.9270
_cell_angle_alpha 98.71
_cell_angle_beta 98.71
_cell_angle_gamma 119.97
loop_
_space_group_symop_operation_xyz
'x,y,z'
loop_
_atom_site_label
_atom_site_type_symbol
_atom_site_fract_x
_atom_site_fract_y
_atom_site_fract_z
Na1 Na 0.0000 0.0000 0.0000
Na2 Na 0.3297 0.6703 0.0000
Na3 Na 0.6703 0.3297 0.0000
Eu1 Eu 0.1665 0.8335 0.5000
Eu2 Eu 0.8335 0.1665 0.5000
Si1 Si 0.4486 0.4486 0.3436
Si2 Si 0.5514 0.5514 0.6564
Se1 Se 0.1049 0.4184 0.2547
Se2 Se 0.2683 0.2683 0.7445
Se3 Se 0.4184 0.1049 0.2547
Se4 Se 0.5816 0.8951 0.7453
Se5 Se 0.7317 0.7317 0.2555
Se6 Se 0.8951 0.5816 0.7453
```

## Properties
* crystal system: monoclinic
* formation energy (no corrections): -14.3 eV/f.u.
* energy: -5.4307 eV/atom

---

First-principles (PBE) data for an optimized crystal structure of MgTcGe, as listed in Alexandria via LeMat-Bulk.

Geometry as CIF:
```
data_MgTcGe
_space_group_name_H-M_alt 'P 1'
_space_group_IT_number 1
_cell_length_a 2.8873
_cell_length_b 4.1268
_cell_length_c 4.8429
_cell_angle_alpha 90.00
_cell_angle_beta 90.00
_cell_angle_gamma 90.00
loop_
_space_group_symop_operation_xyz
'x,y,z'
loop_
_atom_site_label
_atom_site_type_symbol
_atom_site_fract_x
_atom_site_fract_y
_atom_site_fract_z
Mg1 Mg 0.0000 0.0000 0.0000
Tc1 Tc 0.5000 0.0000 0.5000
Ge1 Ge 0.0000 0.5000 0.5000
```

## Properties
* crystal system: orthorhombic
* formation energy: -0.0553 eV/atom
* polymorph energy (0 for the lowest one): 107.2 meV/atom
* energy: -5.5812 eV/atom

---

First-principles (PBE) data for an optimized crystal structure of AlCr3Rh, as listed in Alexandria via LeMat-Bulk.

Geometry as CIF:
```
data_AlCr3Rh
_space_group_name_H-M_alt 'P 1'
_space_group_IT_number 1
_cell_length_a 4.3039
_cell_length_b 4.3039
_cell_length_c 4.3039
_cell_angle_alpha 90.00
_cell_angle_beta 90.00
_cell_angle_gamma 90.00
loop_
_space_group_symop_operation_xyz
'x,y,z'
loop_
_atom_site_label
_atom_site_type_symbol
_atom_site_fract_x
_atom_site_fract_y
_atom_site_fract_z
Al1 Al 0.0000 0.0000 0.0000
Cr1 Cr 0.0000 0.0000 0.5000
Cr2 Cr 0.0000 0.5000 0.0000
Cr3 Cr 0.5000 0.0000 0.0000
Rh1 Rh 0.5000 0.5000 0.5000
```

## Properties
* crystal system: cubic
* formation energy: 1.5416 eV/atom
* polymorph energy (0 for the lowest one): 322.3 meV/atom
* energy: -6.4512 eV/atom

---

no.,D(E_F) (states/eV/cell)
1,0.71
2,4.84
3,19.46
4,33.87
5,0.00
6,3.38
7,1.30
8,9.49